Below is a geometry-optimized ScPN2 structure, with properties calculated at the GGA-PBE level.

Values from the calculation:
space group	I-42d, No. 122
raw formation energy	-1.3	eV/f.u.
calculated total energy	-7.424	eV/atom

Lattice parameters (Å, degrees): 4.711 4.711 5.224 63.20 63.20 90.00
Each line ends with the local moment (μB).
Element x y z (fractional)
Sc  0.750  0.250  0.500  0.17
Sc  0.000  0.000  0.000  0.17
P  0.250  0.750  0.500  0.01
P  0.500  0.500  0.000  0.02
N  0.533  0.125  0.250  0.01
N  0.375  0.467  0.750  0.00
N  0.875  0.783  0.750  0.00
N  0.217  0.625  0.250  0.00